A relaxed structure of KNbCd. Source: the Alexandria database, functional PBE.

Calculated values
The energy comes out at -3.6438 eV/atom. The value obtained for the density of states at the Fermi level is 0.79 states/eV per atom. The formation energy is 0.384 eV/atom. The volume is 186.2 Å³/cell.

a = 3.096 Å, b = 4.739 Å, c = 12.841 Å
α = 89.79°, β = 84.51°, γ = 83.19°
Space group P-1 (No. 2)
Inequivalent atoms, fractional coordinates:
K  0.138  0.249  0.157 (multiplicity 2)
Nb  0.010  0.251  0.461 (multiplicity 2)
Cd  0.435  0.247  0.660 (multiplicity 2)